The following is a DFT calculation (PBE) of crystalline CsZnReI2 at its relaxed geometry.

Unit cell a=7.2736 b=7.4986 c=7.2736 alpha=90.00 beta=90.00 gamma=90.00
Each line ends with the local moment (μB).
Sites, in units of the cell vectors:
1 Cs 0.0000 0.0000 0.0000  0.01
2 Re 0.0000 0.5000 0.0000  4.28
3 I 0.5000 0.0000 0.0000  0.16
4 I 0.0000 0.0000 0.5000  0.22
5 Zn 0.5000 0.5000 0.5000  0.01

Results
crystal system	tetragonal
calculated density	2.672	Mg/m³
E_tot	-10.8	eV/cell
space-group type	P4/mmm, No. 123
M_tot	6.000	μB/cell

***

The following is a DFT calculation (PBE) of crystalline BaMoW2 at its relaxed geometry.

Unit cell a=2.9185 b=2.9185 c=10.1700 alpha=90.00 beta=90.00 gamma=110.33
Sites, in units of the cell vectors:
1 W 0.5000 0.5000 0.2041
2 W 0.0000 0.0000 0.9995
3 Mo 0.5000 0.5000 0.7964
4 Ba 0.0000 0.0000 0.5000

Results
crystal system	orthorhombic
calculated density	12.285	Mg/m³
E_tot	-35.1	eV/cell
space-group type	Cmm2, No. 35
M_tot	0.000	μB/cell

***

The following is a DFT calculation (PBE) of crystalline AsPb2Br at its relaxed geometry.

Unit cell a=6.6964 b=6.6964 c=6.6964 alpha=141.57 beta=141.57 gamma=55.47
Sites, in units of the cell vectors:
1 Br 0.7500 0.2500 0.5000
2 Pb 0.0000 0.0000 0.0000
3 Pb 0.2500 0.7500 0.5000
4 As 0.5000 0.5000 0.0000

Results
crystal system	tetragonal
calculated density	8.209	Mg/m³
E_tot	-13.8	eV/cell
space-group type	I-4m2, No. 119
M_tot	0.000	μB/cell

***

The following is a DFT calculation (PBE) of crystalline LiReTe at its relaxed geometry.

Unit cell a=3.1905 b=3.1905 c=6.6003 alpha=90.00 beta=90.00 gamma=120.00
Sites, in units of the cell vectors:
1 Li 0.0000 0.0000 0.0204
2 Te 0.3333 0.6667 0.6340
3 Re 0.6667 0.3333 0.3456

Results
crystal system	trigonal
calculated density	9.154	Mg/m³
E_tot	-16.0	eV/cell
space-group type	P3m1, No. 156
M_tot	0.000	μB/cell

***

The following is a DFT calculation (PBE) of crystalline IrBrCl2 at its relaxed geometry.

Unit cell a=4.6998 b=4.6998 c=4.6998 alpha=60.00 beta=60.00 gamma=60.00
Sites, in units of the cell vectors:
1 Br 0.5000 0.5000 0.5000
2 Cl 0.2500 0.2500 0.2500
3 Cl 0.0000 0.0000 0.0000
4 Ir 0.7500 0.7500 0.7500

Results
crystal system	cubic
calculated density	7.760	Mg/m³
E_tot	-10.2	eV/cell
space-group type	F-43m, No. 216
M_tot	0.000	μB/cell

***

The following is a DFT calculation (PBE) of crystalline Ac2RhAuN at its relaxed geometry.

Unit cell a=4.1108 b=7.0063 c=8.7499 alpha=108.21 beta=90.00 gamma=90.00
Sites, in units of the cell vectors:
1 Ac 0.2500 0.2139 0.3791
2 Ac 0.7500 0.7786 0.0299
3 Ac 0.2500 0.2214 0.9701
4 Ac 0.7500 0.7861 0.6209
5 Rh 0.2500 0.5363 0.7541
6 Rh 0.7500 0.4637 0.2459
7 Au 0.2500 0.7269 0.3133
8 Au 0.7500 0.2731 0.6867
9 N 0.7500 0.1475 0.1602
10 N 0.2500 0.8525 0.8398

Results
crystal system	monoclinic
calculated density	10.653	Mg/m³
E_tot	-62.1	eV/cell
space-group type	P2_1/m, No. 11
M_tot	0.000	μB/cell

***

The following is a DFT calculation (PBE) of crystalline KW2Br at its relaxed geometry.

Unit cell a=10.6938 b=10.6938 c=10.6938 alpha=15.98 beta=15.98 gamma=15.98
Sites, in units of the cell vectors:
1 K 0.7500 0.7500 0.7500
2 W 0.5151 0.5151 0.5151
3 W 0.9849 0.9849 0.9849
4 Br 0.2500 0.2500 0.2500

Results
crystal system	trigonal
calculated density	10.000	Mg/m³
E_tot	-23.0	eV/cell
space-group type	R-3m, No. 166
M_tot	0.000	μB/cell

***

The following is a DFT calculation (PBE) of crystalline Ac2Y4Tm at its relaxed geometry.

Unit cell a=3.6444 b=3.6547 c=18.9373 alpha=90.00 beta=95.52 gamma=90.00
Sites, in units of the cell vectors:
1 Y 0.3698 0.0000 0.7395
2 Y 0.0642 0.5000 0.1283
3 Y 0.9358 0.5000 0.8717
4 Y 0.6302 0.0000 0.2605
5 Tm 0.5000 0.0000 0.0000
6 Ac 0.7958 0.5000 0.5916
7 Ac 0.2042 0.5000 0.4084

Results
crystal system	orthorhombic
calculated density	6.472	Mg/m³
E_tot	-37.9	eV/cell
space-group type	Cmmm, No. 65
M_tot	0.000	μB/cell